Record 1
# BeAs2Br SCAN single point on PBEsol structure
# * calculated volume: 72.2 Å³ per cell
# * energy above the most stable polymorph in this dataset: 782 meV/atom
# * raw formation energy: 838.8 meV/atom
# * crystal system: tetragonal
# * energy: -15.210 eV/atom
data_BeAs2Br
_chemical_formula_sum 'Be1 As2 Br1'
_space_group_name_H-M_alt 'P 4/m m m'
_space_group_IT_number 123
_space_group_name_Hall '-P 4 2'
_cell_length_a 4.9235
_cell_length_b 4.9235
_cell_length_c 2.9789
_cell_angle_alpha 90.00
_cell_angle_beta 90.00
_cell_angle_gamma 90.00
loop_
_atom_site_label
_atom_site_type_symbol
_atom_site_fract_x
_atom_site_fract_y
_atom_site_fract_z
_atom_site_occupancy
Be1 Be 0.0000 0.0000 0.0000 1
As1 As 0.0000 0.5000 0.5000 1
Br1 Br 0.5000 0.5000 0.0000 1

Record 2
# Be2AsBr SCAN single point on PBEsol structure
# * calculated volume: 193.4 Å³ per cell
# * energy above the most stable polymorph in this dataset: 884 meV/atom
# * raw formation energy: 467.6 meV/atom
# * crystal system: orthorhombic
# * energy: -11.622 eV/atom
data_Be2AsBr
_chemical_formula_sum 'Be4 As2 Br2'
_space_group_name_H-M_alt 'I m m 2'
_space_group_IT_number 44
_cell_length_a 2.8777
_cell_length_b 7.6399
_cell_length_c 8.7978
_cell_angle_alpha 90.00
_cell_angle_beta 90.00
_cell_angle_gamma 90.00
loop_
_space_group_symop_operation_xyz
'x,y,z'
'-x,-y,z'
'-x,y,z'
'x,-y,z'
'x+1/2,y+1/2,z+1/2'
'-x+1/2,-y+1/2,z+1/2'
'-x+1/2,y+1/2,z+1/2'
'x+1/2,-y+1/2,z+1/2'
loop_
_atom_site_label
_atom_site_type_symbol
_atom_site_fract_x
_atom_site_fract_y
_atom_site_fract_z
_atom_site_occupancy
Be1 Be 0.0000 0.0000 0.0000 1
Be2 Be 0.0000 0.5000 0.2818 1
As1 As 0.0000 0.5000 0.6990 1
Br1 Br 0.0000 0.0000 0.6076 1

Record 3
# BeAs2Br SCAN single point on PBEsol structure
# * calculated volume: 172.0 Å³ per cell
# * energy above the most stable polymorph in this dataset: 0 meV/atom
# * raw formation energy: 56.3 meV/atom
# * crystal system: orthorhombic
# * energy: -15.992 eV/atom
data_BeAs2Br
_chemical_formula_sum 'Be2 As4 Br2'
_space_group_name_H-M_alt 'I m m 2'
_space_group_IT_number 44
_cell_length_a 3.0784
_cell_length_b 4.3441
_cell_length_c 12.8610
_cell_angle_alpha 90.00
_cell_angle_beta 90.00
_cell_angle_gamma 90.00
loop_
_space_group_symop_operation_xyz
'x,y,z'
'-x,-y,z'
'-x,y,z'
'x,-y,z'
'x+1/2,y+1/2,z+1/2'
'-x+1/2,-y+1/2,z+1/2'
'-x+1/2,y+1/2,z+1/2'
'x+1/2,-y+1/2,z+1/2'
loop_
_atom_site_label
_atom_site_type_symbol
_atom_site_fract_x
_atom_site_fract_y
_atom_site_fract_z
_atom_site_occupancy
Be1 Be 0.0000 0.0000 0.0000 1
As1 As 0.0000 0.0000 0.4432 1
As2 As 0.0000 0.5000 0.3370 1
Br1 Br 0.0000 0.5000 0.6253 1